Compound: FePH6NO5
Source: the Alexandria database
Functional: PBEsol
Structure: relaxed

a = 17.692 Å, b = 5.654 Å, c = 4.719 Å
α = 90.00°, β = 90.00°, γ = 90.00°
Space group Pna2_1 (No. 33)
One atom of each set of equivalent atoms:
Fe1 0.011 0.249 0.000
P1 0.098 0.749 0.938
H1 0.090 0.387 0.451
H2 0.091 0.108 0.442
H3 0.196 0.358 0.893
H4 0.210 0.058 0.888
H5 0.228 0.739 0.567
H6 0.231 0.741 0.198
N1 0.237 0.225 0.886
O1 0.059 0.966 0.789
O2 0.063 0.525 0.791
O3 0.083 0.749 0.257
O4 0.097 0.250 0.320
O5 0.184 0.756 0.885

Properties
Total DFT energy (no corrections) = -343.8 eV/cell
Calculated density = 2.6 g/cm³
D(E_F) = 4.87 states/eV/f.u.
ΔE to the lowest computed polymorph = 2.9 meV/atom